The following is a PBE-GGA calculation of a relaxed structure of KNaBe2, from Alexandria via LeMat-Bulk.

Geometry as CIF:
```
data_KNaBe2
_cell_length_a 4.5584
_cell_length_b 4.5584
_cell_length_c 20.4552
_cell_angle_alpha 90.00
_cell_angle_beta 90.00
_cell_angle_gamma 90.00
_symmetry_space_group_name_H-M 'P 1'
_symmetry_Int_Tables_number 1
_symmetry_space_group_name_Hall 'P 1'
loop_
_atom_site_label
_atom_site_type_symbol
_atom_site_fract_x
_atom_site_fract_y
_atom_site_fract_z
_atom_site_occupancy
K1 K 0.0000 0.2500 0.3750 1
K2 K 0.0000 0.7500 0.6250 1
K3 K 0.5000 0.2500 0.1250 1
K4 K 0.5000 0.7500 0.8750 1
Na1 Na 0.0000 0.2500 0.8750 1
Na2 Na 0.0000 0.7500 0.1250 1
Na3 Na 0.5000 0.2500 0.6250 1
Na4 Na 0.5000 0.7500 0.3750 1
Be1 Be 0.0000 0.0000 0.0000 1
Be2 Be 0.0000 0.5000 0.0000 1
Be3 Be 0.2500 0.2500 0.7500 1
Be4 Be 0.2500 0.7500 0.2500 1
Be5 Be 0.5000 0.0000 0.5000 1
Be6 Be 0.5000 0.5000 0.5000 1
Be7 Be 0.7500 0.2500 0.7500 1
Be8 Be 0.7500 0.7500 0.2500 1
```

Total moment in μB per formula unit: 0.000
Theoretical density in g cm⁻³: 1.3
Energy relative to the elements in eV/atom: 0.84
Relative energy among the computed polymorphs in eV/f.u.: 0.00
Fermi-level density of states in states/eV/f.u.: 2.07


The following is a PBE-GGA calculation of a relaxed structure of Sm5Er4, from Alexandria via LeMat-Bulk.

Geometry as CIF:
```
data_Sm5Er4
_cell_length_a 7.9930
_cell_length_b 7.9930
_cell_length_c 5.0349
_cell_angle_alpha 108.30
_cell_angle_beta 108.30
_cell_angle_gamma 84.31
_symmetry_space_group_name_H-M 'P 1'
_symmetry_Int_Tables_number 1
_symmetry_space_group_name_Hall 'P 1'
loop_
_atom_site_label
_atom_site_type_symbol
_atom_site_fract_x
_atom_site_fract_y
_atom_site_fract_z
_atom_site_occupancy
Sm1 Sm 0.0000 0.0000 0.0000 1
Sm2 Sm 0.3314 0.3314 0.3313 1
Sm3 Sm 0.3316 0.6684 0.0000 1
Sm4 Sm 0.6684 0.3316 0.0000 1
Sm5 Sm 0.6686 0.6686 0.6687 1
Er1 Er 0.0000 0.3333 0.6667 1
Er2 Er 0.0000 0.6667 0.3333 1
Er3 Er 0.3333 0.0000 0.6667 1
Er4 Er 0.6667 0.0000 0.3333 1
```

Total moment in μB per formula unit: 0.002
Theoretical density in g cm⁻³: 8.1
Energy relative to the elements in eV/atom: 0.02
Fermi-level density of states in states/eV/f.u.: 12.77


The following is a PBE-GGA calculation of a relaxed structure of KAg2Te2, from Alexandria via LeMat-Bulk.

Geometry as CIF:
```
data_KAg2Te2
_cell_length_a 5.5728
_cell_length_b 5.5728
_cell_length_c 10.5832
_cell_angle_alpha 90.00
_cell_angle_beta 90.00
_cell_angle_gamma 90.00
_symmetry_space_group_name_H-M 'P 1'
_symmetry_Int_Tables_number 1
_symmetry_space_group_name_Hall 'P 1'
loop_
_atom_site_label
_atom_site_type_symbol
_atom_site_fract_x
_atom_site_fract_y
_atom_site_fract_z
_atom_site_occupancy
K1 K 0.0000 0.0000 0.0000 1
K2 K 0.5000 0.5000 0.5000 1
Ag1 Ag 0.0000 0.0000 0.3172 1
Ag2 Ag 0.0000 0.0000 0.6828 1
Ag3 Ag 0.5000 0.5000 0.1828 1
Ag4 Ag 0.5000 0.5000 0.8172 1
Te1 Te 0.0000 0.5000 0.2500 1
Te2 Te 0.0000 0.5000 0.7500 1
Te3 Te 0.5000 0.0000 0.2500 1
Te4 Te 0.5000 0.0000 0.7500 1
```

Total moment in μB per formula unit: 0.000
Theoretical density in g cm⁻³: 5.2
Formation energy without anion corrections in eV/atom: -0.29
Relative energy among the computed polymorphs in eV/f.u.: 0.61
Fermi-level density of states in states/eV/f.u.: 1.60


The following is a PBE-GGA calculation of a relaxed structure of PrLu2Cu, from Alexandria via LeMat-Bulk.

Geometry as CIF:
```
data_PrLu2Cu
_cell_length_a 3.6189
_cell_length_b 3.6189
_cell_length_c 29.1126
_cell_angle_alpha 90.00
_cell_angle_beta 90.00
_cell_angle_gamma 120.00
_symmetry_space_group_name_H-M 'P 1'
_symmetry_Int_Tables_number 1
_symmetry_space_group_name_Hall 'P 1'
loop_
_atom_site_label
_atom_site_type_symbol
_atom_site_fract_x
_atom_site_fract_y
_atom_site_fract_z
_atom_site_occupancy
Pr1 Pr 0.0000 0.0000 0.0000 1
Pr2 Pr 0.3333 0.6667 0.6667 1
Pr3 Pr 0.6667 0.3333 0.3333 1
Lu1 Lu 0.0000 0.0000 0.2311 1
Lu2 Lu 0.0000 0.0000 0.7689 1
Lu3 Lu 0.3333 0.6667 0.4355 1
Lu4 Lu 0.3333 0.6667 0.8978 1
Lu5 Lu 0.6667 0.3333 0.1022 1
Lu6 Lu 0.6667 0.3333 0.5645 1
Cu1 Cu 0.0000 0.0000 0.5000 1
Cu2 Cu 0.3333 0.6667 0.1667 1
Cu3 Cu 0.6667 0.3333 0.8333 1
```

Total moment in μB per formula unit: 0.000
Theoretical density in g cm⁻³: 8.4
Energy relative to the elements in eV/atom: 0.01
Relative energy among the computed polymorphs in eV/f.u.: 0.51
Fermi-level density of states in states/eV/f.u.: 4.70


The following is a PBE-GGA calculation of a relaxed structure of NaCeBi3, from Alexandria via LeMat-Bulk.

Geometry as CIF:
```
data_NaCeBi3
_cell_length_a 7.8089
_cell_length_b 7.8089
_cell_length_c 6.0757
_cell_angle_alpha 90.00
_cell_angle_beta 90.00
_cell_angle_gamma 120.00
_symmetry_space_group_name_H-M 'P 1'
_symmetry_Int_Tables_number 1
_symmetry_space_group_name_Hall 'P 1'
loop_
_atom_site_label
_atom_site_type_symbol
_atom_site_fract_x
_atom_site_fract_y
_atom_site_fract_z
_atom_site_occupancy
Na1 Na 0.0000 0.0000 0.0000 1
Na2 Na 0.0000 0.0000 0.5000 1
Ce1 Ce 0.3333 0.6667 0.2500 1
Ce2 Ce 0.6667 0.3333 0.7500 1
Bi1 Bi 0.2000 0.4001 0.7500 1
Bi2 Bi 0.2000 0.8000 0.7500 1
Bi3 Bi 0.4001 0.2000 0.2500 1
Bi4 Bi 0.5999 0.8000 0.7500 1
Bi5 Bi 0.8000 0.2000 0.2500 1
Bi6 Bi 0.8000 0.5999 0.2500 1
```

Total moment in μB per formula unit: 1.216
Theoretical density in g cm⁻³: 8.2
Energy relative to the elements in eV/atom: -0.20
Fermi-level density of states in states/eV/f.u.: 8.30


The following is a PBE-GGA calculation of a relaxed structure of TeRh2Pb, from Alexandria via LeMat-Bulk.

Geometry as CIF:
```
data_TeRh2Pb
_cell_length_a 3.3459
_cell_length_b 3.3485
_cell_length_c 7.2414
_cell_angle_alpha 90.00
_cell_angle_beta 99.48
_cell_angle_gamma 90.00
_symmetry_space_group_name_H-M 'P 1'
_symmetry_Int_Tables_number 1
_symmetry_space_group_name_Hall 'P 1'
loop_
_atom_site_label
_atom_site_type_symbol
_atom_site_fract_x
_atom_site_fract_y
_atom_site_fract_z
_atom_site_occupancy
Te1 Te 0.0000 0.0000 0.0000 1
Rh1 Rh 0.4240 0.5000 0.7956 1
Rh2 Rh 0.5760 0.5000 0.2044 1
Pb1 Pb 0.0000 0.0000 0.5000 1
```

Total moment in μB per formula unit: 0.000
Theoretical density in g cm⁻³: 11.2
Formation energy without anion corrections in eV/atom: 0.02
Relative energy among the computed polymorphs in eV/f.u.: 1.03
Fermi-level density of states in states/eV/f.u.: 3.87


The following is a PBE-GGA calculation of a relaxed structure of Ac5Si4, from Alexandria via LeMat-Bulk.

Geometry as CIF:
```
data_Ac5Si4
_cell_length_a 6.3918
_cell_length_b 6.3918
_cell_length_c 10.4886
_cell_angle_alpha 109.39
_cell_angle_beta 109.39
_cell_angle_gamma 43.05
_symmetry_space_group_name_H-M 'P 1'
_symmetry_Int_Tables_number 1
_symmetry_space_group_name_Hall 'P 1'
loop_
_atom_site_label
_atom_site_type_symbol
_atom_site_fract_x
_atom_site_fract_y
_atom_site_fract_z
_atom_site_occupancy
Ac1 Ac 0.0000 0.0000 0.0000 1
Ac2 Ac 0.1106 0.1106 0.3946 1
Ac3 Ac 0.2396 0.2396 0.8298 1
Ac4 Ac 0.7604 0.7604 0.1702 1
Ac5 Ac 0.8894 0.8894 0.6054 1
Si1 Si 0.4023 0.4023 0.3951 1
Si2 Si 0.4581 0.4581 0.1864 1
Si3 Si 0.5419 0.5419 0.8136 1
Si4 Si 0.5977 0.5977 0.6049 1
```

Total moment in μB per formula unit: 0.000
Theoretical density in g cm⁻³: 7.6
Formation energy without anion corrections in eV/atom: -0.52
Fermi-level density of states in states/eV/f.u.: 8.29


The following is a PBE-GGA calculation of a relaxed structure of SmEuErIn, from Alexandria via LeMat-Bulk.

Geometry as CIF:
```
data_SmEuErIn
_cell_length_a 7.8230
_cell_length_b 7.8230
_cell_length_c 7.8230
_cell_angle_alpha 90.00
_cell_angle_beta 90.00
_cell_angle_gamma 90.00
_symmetry_space_group_name_H-M 'P 1'
_symmetry_Int_Tables_number 1
_symmetry_space_group_name_Hall 'P 1'
loop_
_atom_site_label
_atom_site_type_symbol
_atom_site_fract_x
_atom_site_fract_y
_atom_site_fract_z
_atom_site_occupancy
Sm1 Sm 0.0000 0.0000 0.0000 1
Sm2 Sm 0.0000 0.5000 0.5000 1
Sm3 Sm 0.5000 0.0000 0.5000 1
Sm4 Sm 0.5000 0.5000 0.0000 1
Eu1 Eu 0.2500 0.2500 0.2500 1
Eu2 Eu 0.2500 0.7500 0.7500 1
Eu3 Eu 0.7500 0.2500 0.7500 1
Eu4 Eu 0.7500 0.7500 0.2500 1
Er1 Er 0.0000 0.0000 0.5000 1
Er2 Er 0.0000 0.5000 0.0000 1
Er3 Er 0.5000 0.0000 0.0000 1
Er4 Er 0.5000 0.5000 0.5000 1
In1 In 0.2500 0.2500 0.7500 1
In2 In 0.2500 0.7500 0.2500 1
In3 In 0.7500 0.2500 0.2500 1
In4 In 0.7500 0.7500 0.7500 1
```

Total moment in μB per formula unit: 7.502
Theoretical density in g cm⁻³: 8.1
Energy relative to the elements in eV/atom: -0.12
Fermi-level density of states in states/eV/f.u.: 5.35


The following is a PBE-GGA calculation of a relaxed structure of Na4Pu3VS8, from Alexandria via LeMat-Bulk.

Geometry as CIF:
```
data_Na4Pu3VS8
_cell_length_a 8.0416
_cell_length_b 8.0416
_cell_length_c 8.0416
_cell_angle_alpha 58.20
_cell_angle_beta 58.20
_cell_angle_gamma 58.20
_symmetry_space_group_name_H-M 'P 1'
_symmetry_Int_Tables_number 1
_symmetry_space_group_name_Hall 'P 1'
loop_
_atom_site_label
_atom_site_type_symbol
_atom_site_fract_x
_atom_site_fract_y
_atom_site_fract_z
_atom_site_occupancy
Na1 Na 0.0000 0.0000 0.0000 1
Na2 Na 0.0000 0.5000 0.5000 1
Na3 Na 0.5000 0.0000 0.5000 1
Na4 Na 0.5000 0.5000 0.0000 1
Pu1 Pu 0.0000 0.0000 0.5000 1
Pu2 Pu 0.0000 0.5000 0.0000 1
Pu3 Pu 0.5000 0.0000 0.0000 1
V1 V 0.5000 0.5000 0.5000 1
S1 S 0.2435 0.2435 0.2435 1
S2 S 0.2586 0.7300 0.7300 1
S3 S 0.2700 0.2700 0.7414 1
S4 S 0.2700 0.7414 0.2700 1
S5 S 0.7300 0.2586 0.7300 1
S6 S 0.7300 0.7300 0.2586 1
S7 S 0.7414 0.2700 0.2700 1
S8 S 0.7565 0.7565 0.7565 1
```

Total moment in μB per formula unit: 17.000
Theoretical density in g cm⁻³: 5.3
Formation energy without anion corrections in eV/atom: -1.40
Fermi-level density of states in states/eV/f.u.: 24.49


The following is a PBE-GGA calculation of a relaxed structure of BeCu4Au5, from Alexandria via LeMat-Bulk.

Geometry as CIF:
```
data_BeCu4Au5
_cell_length_a 2.9019
_cell_length_b 2.9019
_cell_length_c 17.4506
_cell_angle_alpha 90.00
_cell_angle_beta 90.00
_cell_angle_gamma 90.00
_symmetry_space_group_name_H-M 'P 1'
_symmetry_Int_Tables_number 1
_symmetry_space_group_name_Hall 'P 1'
loop_
_atom_site_label
_atom_site_type_symbol
_atom_site_fract_x
_atom_site_fract_y
_atom_site_fract_z
_atom_site_occupancy
Be1 Be 0.0000 0.0000 0.0000 1
Cu1 Cu 0.0000 0.0000 0.1913 1
Cu2 Cu 0.0000 0.0000 0.3969 1
Cu3 Cu 0.0000 0.0000 0.6031 1
Cu4 Cu 0.0000 0.0000 0.8087 1
Au1 Au 0.5000 0.5000 0.0851 1
Au2 Au 0.5000 0.5000 0.2942 1
Au3 Au 0.5000 0.5000 0.5000 1
Au4 Au 0.5000 0.5000 0.7058 1
Au5 Au 0.5000 0.5000 0.9149 1
```

Total moment in μB per formula unit: 0.000
Theoretical density in g cm⁻³: 14.1
Energy relative to the elements in eV/atom: -0.06
Fermi-level density of states in states/eV/f.u.: 3.92


The following is a PBE-GGA calculation of a relaxed structure of Na2GdTa5O15, from Alexandria via LeMat-Bulk.

Geometry as CIF:
```
data_Na2GdTa5O15
_cell_length_a 12.6021
_cell_length_b 12.6021
_cell_length_c 3.9329
_cell_angle_alpha 90.00
_cell_angle_beta 90.00
_cell_angle_gamma 90.00
_symmetry_space_group_name_H-M 'P 1'
_symmetry_Int_Tables_number 1
_symmetry_space_group_name_Hall 'P 1'
loop_
_atom_site_label
_atom_site_type_symbol
_atom_site_fract_x
_atom_site_fract_y
_atom_site_fract_z
_atom_site_occupancy
Na1 Na 0.1561 0.3439 0.0000 1
Na2 Na 0.3439 0.8439 0.0000 1
Na3 Na 0.6561 0.1561 0.0000 1
Na4 Na 0.8439 0.6561 0.0000 1
Gd1 Gd 0.0000 0.0000 0.0000 1
Gd2 Gd 0.5000 0.5000 0.0000 1
Ta1 Ta 0.0000 0.5000 0.5000 1
Ta2 Ta 0.0789 0.7884 0.5000 1
Ta3 Ta 0.2116 0.0789 0.5000 1
Ta4 Ta 0.2884 0.5789 0.5000 1
Ta5 Ta 0.4211 0.2884 0.5000 1
Ta6 Ta 0.5000 0.0000 0.5000 1
Ta7 Ta 0.5789 0.7116 0.5000 1
Ta8 Ta 0.7116 0.4211 0.5000 1
Ta9 Ta 0.7884 0.9211 0.5000 1
Ta10 Ta 0.9211 0.2116 0.5000 1
O1 O 0.0000 0.5000 0.0000 1
O2 O 0.0031 0.3415 0.5000 1
O3 O 0.0598 0.1311 0.5000 1
O4 O 0.0767 0.8090 0.0000 1
O5 O 0.1311 0.9402 0.5000 1
O6 O 0.1585 0.4969 0.5000 1
O7 O 0.1910 0.0767 0.0000 1
O8 O 0.2208 0.7208 0.5000 1
O9 O 0.2792 0.2208 0.5000 1
O10 O 0.3090 0.5767 0.0000 1
O11 O 0.3415 0.9969 0.5000 1
O12 O 0.3689 0.4402 0.5000 1
O13 O 0.4233 0.3090 0.0000 1
O14 O 0.4402 0.6311 0.5000 1
O15 O 0.4969 0.8415 0.5000 1
O16 O 0.5000 0.0000 0.0000 1
O17 O 0.5031 0.1585 0.5000 1
O18 O 0.5598 0.3689 0.5000 1
O19 O 0.5767 0.6910 0.0000 1
O20 O 0.6311 0.5598 0.5000 1
O21 O 0.6585 0.0031 0.5000 1
O22 O 0.6910 0.4233 0.0000 1
O23 O 0.7208 0.7792 0.5000 1
O24 O 0.7792 0.2792 0.5000 1
O25 O 0.8090 0.9233 0.0000 1
O26 O 0.8415 0.5031 0.5000 1
O27 O 0.8689 0.0598 0.5000 1
O28 O 0.9233 0.1910 0.0000 1
O29 O 0.9402 0.8689 0.5000 1
O30 O 0.9969 0.6585 0.5000 1
```

Total moment in μB per formula unit: 6.971
Theoretical density in g cm⁻³: 7.2
Formation energy without anion corrections in eV/atom: -2.84
Fermi-level density of states in states/eV/f.u.: 0.00


The following is a PBE-GGA calculation of a relaxed structure of Ce2PrHoP4, from Alexandria via LeMat-Bulk.

Geometry as CIF:
```
data_Ce2PrHoP4
_cell_length_a 7.0796
_cell_length_b 4.0933
_cell_length_c 7.0919
_cell_angle_alpha 90.00
_cell_angle_beta 109.48
_cell_angle_gamma 90.00
_symmetry_space_group_name_H-M 'P 1'
_symmetry_Int_Tables_number 1
_symmetry_space_group_name_Hall 'P 1'
loop_
_atom_site_label
_atom_site_type_symbol
_atom_site_fract_x
_atom_site_fract_y
_atom_site_fract_z
_atom_site_occupancy
Ce1 Ce 0.0000 0.0000 0.0000 1
Ce2 Ce 0.0000 0.5000 0.5000 1
Pr1 Pr 0.5000 0.0000 0.5000 1
Ho1 Ho 0.5000 0.5000 0.0000 1
P1 P 0.2446 0.5000 0.2415 1
P2 P 0.2497 0.0000 0.7564 1
P3 P 0.7503 0.0000 0.2436 1
P4 P 0.7554 0.5000 0.7585 1
```

Total moment in μB per formula unit: 0.985
Theoretical density in g cm⁻³: 6.1
Energy relative to the elements in eV/atom: -1.53
Fermi-level density of states in states/eV/f.u.: 9.35